No. 1
## Sm3Dy2Tl4 (PBE)

Data for a relaxed Sm3Dy2Tl4 crystal.

Offset from the most stable computed form, meV/atom: 122
Energy relative to the elements, meV per atom: -188
Total magnetic moment, Bohr magnetons per cell: 0.000
Uncorrected energy, eV/atom: -3.8352

Lattice parameters (Å, degrees): 7.2996 15.6206 9.7939 90.00 90.00 90.00
With the nearest neighbours (Å) after each atom.
Space group Cmce (No. 64)
Symmetry-distinct sites (fractional):
Sm: 0.0000 0.0000 0.0000 (multiplicity 4)  6 Tl 3.06-3.08
Sm: 0.2500 0.2155 0.2500 (multiplicity 8)  5 Tl 3.17-3.27
Dy: 0.0000 0.1060 0.5535 (multiplicity 8)  3 Tl 3.18-3.20, 1 Dy 3.47
Tl: 0.0000 0.1963 0.9745 (multiplicity 8)  5 Sm 3.08-3.27, 1 Dy 3.18
Tl: 0.2500 0.0092 0.2500 (multiplicity 8)  3 Sm 3.06-3.22, 2 Dy 3.20

No. 2
## SrLaPCl2 (PBE)

Data for a relaxed SrLaPCl2 crystal.

Offset from the most stable computed form, meV/atom: 324
Formation energy without anion corrections, kJ/mol of formula units: -563
Total magnetic moment, Bohr magnetons per cell: 0.157
Uncorrected energy, eV/atom: -4.3093

Lattice parameters (Å, degrees): 5.1984 5.1984 6.0829 90.00 90.00 90.00
With the nearest neighbours (Å) after each atom.
Space group P4/mmm (No. 123)
Symmetry-distinct sites (fractional):
Sr: 0.0000 0.0000 0.0000 (multiplicity 1)  4 Cl 2.60
La: 0.5000 0.5000 0.5000 (multiplicity 1)  4 P 3.68, 8 Cl 4.00
P: 0.0000 0.0000 0.5000 (multiplicity 1)  2 Sr 3.04
Cl: 0.0000 0.5000 0.0000 (multiplicity 2)  2 Sr 2.60

No. 3
## Tb5PrNd3 (PBE)

Data for a relaxed Tb5PrNd3 crystal.

Offset from the most stable computed form, meV/atom: 205
Energy relative to the elements, meV per atom: 491
Total magnetic moment, Bohr magnetons per cell: 0.000
Uncorrected energy, eV/atom: -4.2016

Lattice parameters (Å, degrees): 15.4564 11.4624 9.9759 90.00 130.05 90.00
With the nearest neighbours (Å) after each atom.
Space group C2/m (No. 12)
Symmetry-distinct sites (fractional):
Tb: 0.0000 0.2435 0.0000 (multiplicity 4)  1 Nd 2.94
Tb: 0.1496 0.2506 0.7491 (multiplicity 8)  3 Tb 3.33-3.72, 2 Nd 3.52-3.55
Tb: 0.2203 0.0000 0.2217 (multiplicity 4)  3 Nd 3.20-3.46, 3 Tb 3.27-3.40, 1 Pr 3.37
Tb: 0.2249 0.5000 0.0452 (multiplicity 4)  3 Nd 3.20-3.41, 3 Tb 3.27-3.33, 1 Pr 3.43
Pr: 0.2467 0.5000 0.4098 (multiplicity 4)  4 Nd 3.19-3.41, 2 Tb 3.37-3.43
Nd: 0.0000 0.0000 0.5000 (multiplicity 2)  2 Nd 3.05, 2 Pr 3.41
Nd: 0.0000 0.5000 0.0000 (multiplicity 2)  4 Tb 2.94-3.20
Nd: 0.0065 0.0000 0.8117 (multiplicity 4)  1 Nd 3.05, 4 Tb 3.20-3.40, 1 Pr 3.39
Nd: 0.0211 0.5000 0.3595 (multiplicity 4)  1 Pr 3.19, 2 Nd 3.26-3.39, 4 Tb 3.32-3.55

No. 4
## SiGeMo (PBE)

Data for a relaxed SiGeMo crystal.

Offset from the most stable computed form, meV/atom: 562
Formation energy without anion corrections, kJ/mol of formula units: 63
Total magnetic moment, Bohr magnetons per cell: 0.000
Uncorrected energy, eV/atom: -6.7407

Lattice parameters (Å, degrees): 4.4892 4.4892 2.6932 90.00 90.00 120.00
With the nearest neighbours (Å) after each atom.
Space group P3m1 (No. 156)
Symmetry-distinct sites (fractional):
Si: 0.0000 0.0000 0.0000 (multiplicity 1)  3 Mo 2.59, 2 Si 2.69
Ge: 0.3333 0.6667 0.5038 (multiplicity 1)  2 Ge 2.69, 6 Si 2.92-2.93, 6 Mo 2.92
Mo: 0.6667 0.3333 0.0026 (multiplicity 1)  3 Si 2.59, 2 Mo 2.69